The following is a PBE calculation of a relaxed Ca5Sn3Br16 crystal, from Alexandria.

## Properties
DFT total energy: -3.590 eV per atom
Total magnetic moment: 0.0 μB per formula unit

a b c (Å): 8.7110 8.7110 13.3986
angles (deg): 89.82 89.82 59.67
Fractional positions:
Br 0.6665 0.1749 0.9057
Br 0.4858 0.4858 0.1517
Ca 0.6648 0.6648 0.5198
Br 0.4827 0.0294 0.1559
Sn 0.8300 0.8300 0.7857
Br 0.1749 0.6665 0.9057
Br 0.3359 0.8397 0.4039
Br 0.3268 0.3268 0.4091
Br 0.0055 0.0055 0.1691
Br 0.0294 0.4827 0.1559
Ca 0.3359 0.8310 0.7876
Sn 0.6617 0.1681 0.2862
Br 0.8397 0.3359 0.4039
Br 0.6623 0.6623 0.9066
Br 0.9703 0.5097 0.6575
Br 0.5097 0.9703 0.6575
Ca 0.1677 0.1677 0.2865
Sn 0.1681 0.6617 0.2862
Br 0.1675 0.1675 0.9006
Br 0.8318 0.8318 0.4111
Ca 0.3325 0.3325 0.0168
Br 0.0043 0.0043 0.6740
Ca 0.8310 0.3359 0.7876
Br 0.5154 0.5154 0.6596


The following is a PBE calculation of a relaxed Ta2CoPt crystal, from Alexandria.

## Properties
Energy of formation: -0.381 eV/atom
DFT total energy: -9.594 eV per atom
Total magnetic moment: 0.0 μB per formula unit

a b c (Å): 4.8287 4.8287 4.8287
angles (deg): 131.65 131.65 70.78
Fractional positions:
Ta 0.0000 0.0000 0.0000
Ta 0.5000 0.5000 0.0000
Co 0.2500 0.7500 0.5000
Pt 0.7500 0.2500 0.5000


The following is a PBE calculation of a relaxed Na6Ca crystal, from Alexandria.

## Properties
Energy of formation: 0.346 eV/atom
Relative energy among the computed polymorphs: 271.7 meV/atom
DFT total energy: -1.071 eV per atom
Total magnetic moment: 0.0 μB per formula unit

a b c (Å): 7.3916 7.3916 7.3916
angles (deg): 109.47 109.47 109.47
Fractional positions:
Na 0.7500 0.2500 0.5000
Ca 0.0000 0.0000 0.0000
Na 0.7500 0.5000 0.2500
Na 0.2500 0.7500 0.5000
Na 0.5000 0.2500 0.7500
Na 0.2500 0.5000 0.7500
Na 0.5000 0.7500 0.2500